No. 1
Computed, not measured: a crystal of LiSiAs2 relaxed with PBEsol at the meta-GGA SCAN level of DFT.

Computed properties:
- Uncorrected formation energy: 0.016 eV/atom
- DOS at the Fermi energy: 0.918 states/eV/f.u.
- Spin magnetization: 0.00 μB per formula unit

abc: 3.5072 3.9697 5.5509
angles: 105.50 108.42 90.00
Sites, in units of the cell vectors:
As: 0.7335 0.1632 0.4671
As: 0.9537 0.0374 0.9074
Si: 0.2809 0.7112 0.5617
Li: 0.5319 0.5882 0.0638

=====

No. 2
Computed, not measured: a crystal of BaSbSe2 relaxed with PBEsol at the meta-GGA SCAN level of DFT.

Computed properties:
- Uncorrected formation energy: -0.310 eV/atom
- DOS at the Fermi energy: 3.662 states/eV/f.u.
- Spin magnetization: 0.00 μB per formula unit

abc: 5.3780 5.3780 5.3780
angles: 60.00 60.00 60.00
Sites, in units of the cell vectors:
Se: 0.0000 0.0000 0.0000
Se: 0.7500 0.7500 0.7500
Ba: 0.5000 0.5000 0.5000
Sb: 0.2500 0.2500 0.2500

=====

No. 3
Computed, not measured: a crystal of Mn2Be relaxed with PBEsol at the meta-GGA SCAN level of DFT.

Computed properties:
- DOS at the Fermi energy: 2.531 states/eV/f.u.
- ΔH_f (0 K): -6.3 meV/atom
- Spin magnetization: 0.44 μB per formula unit

abc: 4.1662 4.1874 4.1874
angles: 75.67 60.17 60.17
Sites, in units of the cell vectors:
Mn: 0.6546 0.1908 0.5000
Mn: 0.1546 0.5000 0.1908
Mn: 0.8454 0.5000 0.8092
Mn: 0.3454 0.8092 0.5000
Be: 0.2500 0.0000 0.0000
Be: 0.7500 0.0000 0.0000

=====

No. 4
Computed, not measured: a crystal of CsTl2S2 relaxed with PBEsol at the meta-GGA SCAN level of DFT.

Computed properties:
- Uncorrected formation energy: -0.508 eV/atom
- DOS at the Fermi energy: 1.739 states/eV/f.u.
- Spin magnetization: 0.00 μB per formula unit

abc: 5.0506 5.0506 7.4218
angles: 109.89 109.89 90.00
Sites, in units of the cell vectors:
Cs: 0.0000 0.0000 0.0000
Tl: 0.7500 0.2500 0.5000
Tl: 0.2500 0.7500 0.5000
S: 0.6491 0.6491 0.2983
S: 0.3509 0.3509 0.7017

=====

No. 5
Computed, not measured: a crystal of LaTl2Cr relaxed with PBEsol at the meta-GGA SCAN level of DFT.

Computed properties:
- DOS at the Fermi energy: 2.282 states/eV/f.u.
- ΔH_f (0 K): -157.9 meV/atom
- Spin magnetization: 4.25 μB per formula unit

abc: 4.7146 4.6176 4.6176
angles: 90.00 90.00 90.00
Sites, in units of the cell vectors:
La: 0.5000 0.5000 0.5000
Tl: 0.0000 0.0000 0.5000
Tl: 0.0000 0.5000 0.0000
Cr: 0.5000 0.0000 0.0000

=====

No. 6
Computed, not measured: a crystal of Pt2Rh relaxed with PBEsol at the meta-GGA SCAN level of DFT.

Computed properties:
- DOS at the Fermi energy: 4.458 states/eV/f.u.
- ΔH_f (0 K): 65.4 meV/atom
- Spin magnetization: 1.82 μB per formula unit

abc: 2.7117 4.5743 7.1645
angles: 90.00 100.91 90.00
Sites, in units of the cell vectors:
Pt: 0.7229 0.7500 0.4459
Pt: 0.0549 0.7500 0.1097
Pt: 0.9451 0.2500 0.8903
Pt: 0.2771 0.2500 0.5541
Rh: 0.3894 0.7500 0.7787
Rh: 0.6106 0.2500 0.2213

=====

No. 7
Computed, not measured: a crystal of MnCrSiRu2 relaxed with PBEsol at the meta-GGA SCAN level of DFT.

Computed properties:
- Uncorrected formation energy: 0.451 eV/atom
- DOS at the Fermi energy: 2.883 states/eV/f.u.
- Spin magnetization: 0.86 μB per formula unit

abc: 4.3001 4.3017 4.3017
angles: 90.00 90.00 90.00
Sites, in units of the cell vectors:
Ru: 0.0000 0.0000 0.5000
Ru: 0.0000 0.5000 0.0000
Mn: 0.5000 0.5000 0.5000
Cr: 0.5000 0.0000 0.0000
Si: 0.0000 0.0000 0.0000

=====

No. 8
Computed, not measured: a crystal of Cs3RbZr relaxed with PBEsol at the meta-GGA SCAN level of DFT.

Computed properties:
- DOS at the Fermi energy: 3.041 states/eV/f.u.
- ΔH_f (0 K): 802.4 meV/atom
- Spin magnetization: 5.25 μB per formula unit

abc: 7.2862 7.2862 7.2862
angles: 90.00 90.00 90.00
Sites, in units of the cell vectors:
Cs: 0.0000 0.5000 0.0000
Cs: 0.0000 0.0000 0.5000
Cs: 0.5000 0.0000 0.0000
Rb: 0.5000 0.5000 0.5000
Zr: 0.0000 0.0000 0.0000

=====

No. 9
Computed, not measured: a crystal of AgPb2 relaxed with PBEsol at the meta-GGA SCAN level of DFT.

Computed properties:
- DOS at the Fermi energy: 1.293 states/eV/f.u.
- ΔH_f (0 K): 87.3 meV/atom
- Spin magnetization: 0.00 μB per formula unit

abc: 4.2598 7.8618 7.8618
angles: 120.00 90.00 90.00
Sites, in units of the cell vectors:
Ag: 0.0000 0.3333 0.6667
Ag: 0.5000 0.0000 0.0000
Ag: 0.0000 0.6667 0.3333
Pb: 0.5000 0.0000 0.6014
Pb: 0.0000 0.2638 0.0000
Pb: 0.5000 0.3986 0.3986
Pb: 0.0000 0.7362 0.7362
Pb: 0.5000 0.6014 0.0000
Pb: 0.0000 0.0000 0.2638

=====

No. 10
Computed, not measured: a crystal of Co3MoI relaxed with PBEsol at the meta-GGA SCAN level of DFT.

Computed properties:
- Uncorrected formation energy: 1.671 eV/atom
- DOS at the Fermi energy: 3.901 states/eV/f.u.
- Spin magnetization: 4.39 μB per formula unit

abc: 4.4156 4.4156 4.4156
angles: 90.00 90.00 90.00
Sites, in units of the cell vectors:
Co: 0.0000 0.0000 0.5000
Co: 0.5000 0.0000 0.0000
Co: 0.0000 0.5000 0.0000
I: 0.5000 0.5000 0.5000
Mo: 0.0000 0.0000 0.0000

=====

No. 11
Computed, not measured: a crystal of TaCd relaxed with PBEsol at the meta-GGA SCAN level of DFT.

Computed properties:
- DOS at the Fermi energy: 2.561 states/eV/f.u.
- ΔH_f (0 K): 576.9 meV/atom
- Spin magnetization: 0.13 μB per formula unit

abc: 4.7358 4.7358 4.7358
angles: 60.00 60.00 60.00
Sites, in units of the cell vectors:
Ta: 0.5000 0.5000 0.5000
Ta: 0.7500 0.7500 0.7500
Cd: 0.0000 0.0000 0.0000
Cd: 0.2500 0.2500 0.2500

=====

No. 12
Computed, not measured: a crystal of RbH2Se relaxed with PBEsol at the meta-GGA SCAN level of DFT.

Computed properties:
- DOS at the Fermi energy: 0.793 states/eV/f.u.
- Total DFT energy (no corrections): -11.891 eV/atom
- Spin magnetization: 0.00 μB per formula unit

abc: 4.7058 4.7058 7.4283
angles: 108.47 108.47 90.00
Sites, in units of the cell vectors:
H: 0.6250 0.8750 0.2500
H: 0.1250 0.3750 0.7500
H: 0.6250 0.3750 0.2500
H: 0.6250 0.3750 0.7500
Se: 0.5000 0.5000 0.0000
Se: 0.7500 0.2500 0.5000
Rb: 0.2500 0.7500 0.5000
Rb: 0.0000 0.0000 0.0000

=====

No. 13
Computed, not measured: a crystal of ZnC3 relaxed with PBEsol at the meta-GGA SCAN level of DFT.

Computed properties:
- E above lowest polymorph: 0.000 eV/atom
- DOS at the Fermi energy: 0.840 states/eV/f.u.
- ΔH_f (0 K): 2149.5 meV/atom
- Spin magnetization: 0.00 μB per formula unit

abc: 2.5538 2.5538 5.5289
angles: 76.65 76.65 60.00
Sites, in units of the cell vectors:
C: 0.2239 0.2239 0.3283
C: 0.7761 0.7761 0.6717
C: 0.5000 0.5000 0.5000
Zn: 0.0000 0.0000 0.0000

=====

No. 14
Computed, not measured: a crystal of YBeP2 relaxed with PBEsol at the meta-GGA SCAN level of DFT.

Computed properties:
- DOS at the Fermi energy: 0.951 states/eV/f.u.
- ΔH_f (0 K): -810.3 meV/atom
- Spin magnetization: 0.00 μB per formula unit

abc: 5.5969 5.5969 5.5969
angles: 108.91 108.91 110.59
Sites, in units of the cell vectors:
P: 0.6250 0.2032 0.0782
P: 0.1250 0.5468 0.9218
P: 0.4532 0.3750 0.5782
P: 0.7968 0.8750 0.4218
Y: 0.2500 0.7500 0.5000
Y: 0.0000 0.0000 0.0000
Be: 0.7500 0.2500 0.5000
Be: 0.5000 0.5000 0.0000